Record 1
# GGA-PBE Ca2SmReN4, relaxed
data_Ca2SmReN4
_chemical_formula_sum 'Ca8 Sm4 Re4 N16'
_symmetry_space_group_name_H-M 'C m c m'
_symmetry_Int_Tables_number 63
_symmetry_space_group_name_Hall '-C 2c 2'
_cell_length_a 3.417
_cell_length_b 11.790
_cell_length_c 12.210
_cell_angle_alpha 90.00
_cell_angle_beta 90.00
_cell_angle_gamma 90.00
loop_
_atom_site_label
_atom_site_type_symbol
_atom_site_fract_x
_atom_site_fract_y
_atom_site_fract_z
Ca1 Ca 0.000 0.126 0.034
Sm1 Sm 0.000 0.420 0.250
Re1 Re 0.000 0.324 0.750
N1 N 0.000 0.078 0.250
N2 N 0.000 0.231 0.631
N3 N 0.000 0.500 0.000
# V = 15.4 Å³ per atom
# E_form (uncorrected) = -0.71 eV per atom



Record 2
# GGA-PBE CdNiAg, relaxed
data_CdNiAg
_chemical_formula_sum 'Cd2 Ni2 Ag2'
_symmetry_space_group_name_H-M 'I 4 m m'
_symmetry_Int_Tables_number 107
_symmetry_space_group_name_Hall 'I 4 -2'
_cell_length_a 2.969
_cell_length_b 2.969
_cell_length_c 11.113
_cell_angle_alpha 90.00
_cell_angle_beta 90.00
_cell_angle_gamma 90.00
loop_
_atom_site_label
_atom_site_type_symbol
_atom_site_fract_x
_atom_site_fract_y
_atom_site_fract_z
Cd1 Cd 0.000 0.000 0.000
Ni1 Ni 0.000 0.000 0.654
Ag1 Ag 0.000 0.000 0.307
# DFT formation energy = 99 meV per atom
# V = 16.3 Å³ per atom
# energy above the most stable polymorph in this dataset = 26 meV per atom



Record 3
# GGA-PBE NaCa2GeF, relaxed
data_NaCa2GeF
_chemical_formula_sum 'Na1 Ca2 Ge1 F1'
_symmetry_space_group_name_H-M 'P 4/m m m'
_symmetry_Int_Tables_number 123
_symmetry_space_group_name_Hall '-P 4 2'
_cell_length_a 4.869
_cell_length_b 4.869
_cell_length_c 4.497
_cell_angle_alpha 90.00
_cell_angle_beta 90.00
_cell_angle_gamma 90.00
loop_
_atom_site_label
_atom_site_type_symbol
_atom_site_fract_x
_atom_site_fract_y
_atom_site_fract_z
Na1 Na 0.000 0.000 0.000
Ca1 Ca 0.000 0.500 0.500
Ge1 Ge 0.500 0.500 0.000
F1 F 0.000 0.000 0.500
# V = 21.3 Å³ per atom
# E_form (uncorrected) = -1.36 eV per atom



Record 4
# GGA-PBE NaNbIN2, relaxed
data_NaNbIN2
_chemical_formula_sum 'Na1 Nb1 I1 N2'
_symmetry_space_group_name_H-M 'P 4/m m m'
_symmetry_Int_Tables_number 123
_symmetry_space_group_name_Hall '-P 4 2'
_cell_length_a 4.264
_cell_length_b 4.264
_cell_length_c 5.125
_cell_angle_alpha 90.00
_cell_angle_beta 90.00
_cell_angle_gamma 90.00
loop_
_atom_site_label
_atom_site_type_symbol
_atom_site_fract_x
_atom_site_fract_y
_atom_site_fract_z
Na1 Na 0.000 0.000 0.000
Nb1 Nb 0.500 0.500 0.500
I1 I 0.000 0.000 0.500
N1 N 0.000 0.500 0.000
# V = 18.6 Å³ per atom
# E_form (uncorrected) = 2.22 eV per atom
# energy above the most stable polymorph in this dataset = 2253 meV per atom



Record 5
# GGA-PBE PmGaNi, relaxed
data_PmGaNi
_chemical_formula_sum 'Pm1 Ga1 Ni1'
_symmetry_space_group_name_H-M 'P -6 m 2'
_symmetry_Int_Tables_number 187
_symmetry_space_group_name_Hall 'P -6 2'
_cell_length_a 4.2710
_cell_length_b 4.2710
_cell_length_c 3.8206
_cell_angle_alpha 90.00
_cell_angle_beta 90.00
_cell_angle_gamma 120.00
loop_
_atom_site_label
_atom_site_type_symbol
_atom_site_fract_x
_atom_site_fract_y
_atom_site_fract_z
Pm1 Pm 0.0000 0.0000 0.0000
Ga1 Ga 0.3333 0.6667 0.5000
Ni1 Ni 0.6667 0.3333 0.5000
# DFT formation energy = -550 meV per atom
# V = 20.1 Å³ per atom
# energy above the most stable polymorph in this dataset = 30 meV per atom



Record 6
# GGA-PBE Rb2SbAu2, relaxed
data_Rb2SbAu2
_chemical_formula_sum 'Rb8 Sb4 Au8'
_symmetry_space_group_name_H-M 'C 1 2/c 1'
_symmetry_Int_Tables_number 15
_symmetry_space_group_name_Hall '-C 2yc'
_cell_length_a 11.259
_cell_length_b 7.032
_cell_length_c 8.495
_cell_angle_alpha 90.00
_cell_angle_beta 100.28
_cell_angle_gamma 90.00
loop_
_atom_site_label
_atom_site_type_symbol
_atom_site_fract_x
_atom_site_fract_y
_atom_site_fract_z
Rb1 Rb 0.146 0.126 0.135
Sb1 Sb 0.000 0.431 0.750
Au1 Au 0.141 0.353 0.502
# V = 33.1 Å³ per atom
# E_form (uncorrected) = -0.32 eV per atom
# energy above the most stable polymorph in this dataset = 0 meV per atom



Record 7
# GGA-PBE Ca2Cd5Sn3, relaxed
data_Ca2Cd5Sn3
_chemical_formula_sum 'Ca8 Cd20 Sn12'
_symmetry_space_group_name_H-M 'I b a m'
_symmetry_Int_Tables_number 72
_symmetry_space_group_name_Hall '-I 2 2c'
_cell_length_a 12.679
_cell_length_b 13.086
_cell_length_c 6.516
_cell_angle_alpha 90.00
_cell_angle_beta 90.00
_cell_angle_gamma 90.00
loop_
_atom_site_label
_atom_site_type_symbol
_atom_site_fract_x
_atom_site_fract_y
_atom_site_fract_z
Ca1 Ca 0.249 0.125 0.000
Cd1 Cd 0.000 0.000 0.250
Cd2 Cd 0.000 0.246 0.250
Cd3 Cd 0.137 0.368 0.000
Sn1 Sn 0.000 0.500 0.250
Sn2 Sn 0.145 0.124 0.500
# DFT formation energy = -249 meV per atom
# V = 27.0 Å³ per atom



Record 8
# GGA-PBE V2SiHRu, relaxed
data_V2SiHRu
_chemical_formula_sum 'V2 Si1 H1 Ru1'
_symmetry_space_group_name_H-M 'P 4/m m m'
_symmetry_Int_Tables_number 123
_symmetry_space_group_name_Hall '-P 4 2'
_cell_length_a 3.736
_cell_length_b 3.736
_cell_length_c 3.946
_cell_angle_alpha 90.00
_cell_angle_beta 90.00
_cell_angle_gamma 90.00
loop_
_atom_site_label
_atom_site_type_symbol
_atom_site_fract_x
_atom_site_fract_y
_atom_site_fract_z
V1 V 0.000 0.500 0.000
Si1 Si 0.000 0.000 0.500
H1 H 0.500 0.500 0.000
Ru1 Ru 0.500 0.500 0.500
# calculated total energy = -37.741 eV for the cell shown
# V = 11.0 Å³ per atom